Entry 1:
Here is an optimized crystal structure of ZrTcRu2 from the Alexandria database. Energies are from PBE.

Unit cell a=4.868 b=4.868 c=4.870 alpha=101.68 beta=101.68 gamma=34.66
Element x y z (fractional)
Zr  0.000  0.000  0.000
Tc  0.500  0.500  0.500
Ru  0.240  0.240  0.719
Ru  0.760  0.760  0.281

Computed properties:
The density of states at the Fermi level comes out at 1.120 states/eV/atom. The calculation puts the electronic total energy at -9.368 eV per atom. The value obtained for the energy of formation from the pure elements is -0.01 eV/f.u. The value obtained for the energy above the lowest structure with this stoichiometry is 0.058 eV/atom. The space group is C2/m, No. 12. The crystal system is monoclinic.

***

Entry 2:
Here is an optimized crystal structure of Cr2IrCl from the Alexandria database. Energies are from PBE.

Unit cell a=4.673 b=4.673 c=2.869 alpha=90.18 beta=90.18 gamma=90.23
Element x y z (fractional)
Cr  0.000  0.500  0.000
Cr  0.500  0.000  0.000
Ir  0.000  0.000  0.500
Cl  0.500  0.500  0.500

Computed properties:
The density of states at the Fermi level comes out at 1.306 states/eV/atom. The calculation puts the electronic total energy at -7.053 eV per atom. The value obtained for the energy above the lowest structure with this stoichiometry is 0.359 eV/atom. The space group is C2/m, No. 12. The crystal system is monoclinic.

***

Entry 3:
Here is an optimized crystal structure of SiRuBr2 from the Alexandria database. Energies are from PBE.

Unit cell a=4.570 b=3.771 c=7.264 alpha=90.00 beta=108.06 gamma=90.00
Element x y z (fractional)
Si  0.000  0.000  0.000
Ru  0.500  0.000  0.000
Br  0.375  0.500  0.746
Br  0.625  0.500  0.254

Computed properties:
The density of states at the Fermi level comes out at 0.271 states/eV/atom. The calculation puts the electronic total energy at -4.433 eV per atom. The value obtained for the energy above the lowest structure with this stoichiometry is 0.164 eV/atom. The space group is P2/m, No. 10. The crystal system is monoclinic.

***

- What is the electronic total energy in the first record?
  -9.368 eV per atom

***

- Which value of energy above the lowest structure with this stoichiometry does entry 3 give?
  0.164 eV/atom

***

- Among the records above, which one has the highest electronic total energy?
  SiRuBr2